The following is a DFT calculation (SCAN) of a PBEsol-optimized structure of KBaTl3.

a b c (Å): 5.886 5.886 5.886
angles (deg): 90.00 90.00 90.00
Positions (direct):
1 K 0.000 0.000 0.000
2 Tl 0.000 0.500 0.000
3 Tl 0.000 0.000 0.500
4 Tl 0.500 0.000 0.000
5 Ba 0.500 0.500 0.500

Values from the calculation:
The calculation puts the formation energy at 179 meV per atom.